No. 1
Pm2Ni3Sn4Au: relaxed, PBE.

Properties
- Total moment: 0.00 μB/f.u.
- Volume: 20.951 Å³ per atom
- Formation energy: -531.9 meV per atom
- Fermi-level density of states: 4.71 states/eV/cell

Unit cell a=4.4860 b=4.4860 c=10.4105 alpha=90.00 beta=90.00 gamma=90.00
Space group P-4m2 (No. 115)
Asymmetric unit:
Pm (0.0000, 0.5000, 0.2476) [2 per cell]
Ni (0.0000, 0.0000, 0.0000) [1 per cell]
Ni (0.0000, 0.5000, 0.6190) [2 per cell]
Sn (0.0000, 0.0000, 0.5000) [1 per cell]
Sn (0.0000, 0.5000, 0.8568) [2 per cell]
Sn (0.5000, 0.5000, 0.5000) [1 per cell]
Au (0.5000, 0.5000, 0.0000) [1 per cell]



No. 2
SrY2BiC: relaxed, PBE.

Properties
- Total moment: 2.45 μB/f.u.
- Volume: 40.584 Å³ per atom
- Formation energy: 2269.6 meV per atom
- Fermi-level density of states: 5.79 states/eV/cell

Unit cell a=5.9005 b=5.9005 c=5.8284 alpha=90.00 beta=90.00 gamma=90.00
Space group P4/mmm (No. 123)
Asymmetric unit:
Sr (0.0000, 0.0000, 0.0000) [1 per cell]
Y (0.0000, 0.5000, 0.0000) [2 per cell]
Bi (0.0000, 0.0000, 0.5000) [1 per cell]
C (0.5000, 0.5000, 0.5000) [1 per cell]



No. 3
CoH2Au: relaxed, PBE.

Properties
- E_tot: -15.93 eV per formula unit
- Total moment: 0.00 μB/f.u.
- Volume: 8.883 Å³ per atom
- Fermi-level density of states: 7.99 states/eV/cell

Unit cell a=4.0525 b=4.0525 c=8.6549 alpha=90.00 beta=90.00 gamma=90.00
Space group I-42d (No. 122)
Asymmetric unit:
Co (0.0000, 0.0000, 0.0000) [4 per cell]
H (0.1543, 0.2500, 0.1250) [8 per cell]
Au (0.0000, 0.0000, 0.5000) [4 per cell]



No. 4
MnBeSe2: relaxed, PBE.

Properties
- Total moment: 4.76 μB/f.u.
- Volume: 17.364 Å³ per atom
- Raw formation energy: -1.10 eV/f.u.
- Fermi-level density of states: 4.52 states/eV/cell

Unit cell a=5.2099 b=5.2099 c=10.2351 alpha=90.00 beta=90.00 gamma=90.00
Space group I4_1/amd (No. 141, origin choice 2)
Asymmetric unit:
Mn (0.0000, 0.2500, 0.3750) [4 per cell]
Be (0.0000, 0.2500, 0.8750) [4 per cell]
Se (0.0000, 0.2500, 0.1061) [8 per cell]